ThIn6Ni6 after structural relaxation. Source: the Alexandria database, functional GGA-PBE.

Computed properties:
ΔE_f in eV per atom: -0.17

CIF file:
```
data_ThIn6Ni6
_chemical_formula_sum 'Th2 In12 Ni12'
_cell_length_a 5.312
_cell_length_b 9.092
_cell_length_c 9.312
_cell_angle_alpha 90.00
_cell_angle_beta 90.00
_cell_angle_gamma 90.00
_symmetry_space_group_name_H-M 'I m m m'
_symmetry_Int_Tables_number 71
_symmetry_space_group_name_Hall '-I 2 2'
loop_
_atom_site_label
_atom_site_type_symbol
_atom_site_fract_x
_atom_site_fract_y
_atom_site_fract_z
Th1 Th 0.000 0.000 0.000
In1 In 0.000 0.000 0.346
In2 In 0.000 0.337 0.000
In3 In 0.000 0.500 0.313
Ni1 Ni 0.000 0.269 0.500
Ni2 Ni 0.250 0.250 0.250
```

GaCoIN2 after structural relaxation. Source: the Alexandria database, functional GGA-PBE.

Computed properties:
Formation energy (no corrections) in eV per atom: 1.21
Offset from the most stable computed form in meV per atom: 0.0

CIF file:
```
data_GaCoIN2
_chemical_formula_sum 'Ga1 Co1 I1 N2'
_cell_length_a 3.757
_cell_length_b 3.757
_cell_length_c 6.800
_cell_angle_alpha 90.00
_cell_angle_beta 90.00
_cell_angle_gamma 90.00
_symmetry_space_group_name_H-M 'P 4/m m m'
_symmetry_Int_Tables_number 123
_symmetry_space_group_name_Hall '-P 4 2'
loop_
_atom_site_label
_atom_site_type_symbol
_atom_site_fract_x
_atom_site_fract_y
_atom_site_fract_z
Ga1 Ga 0.000 0.000 0.000
Co1 Co 0.500 0.500 0.500
I1 I 0.500 0.500 0.000
N1 N 0.000 0.500 0.500
```

La2ScRh2 after structural relaxation. Source: the Alexandria database, functional GGA-PBE.

Computed properties:
ΔE_f in eV per atom: -0.65

CIF file:
```
data_La2ScRh2
_chemical_formula_sum 'La4 Sc2 Rh4'
_cell_length_a 7.565
_cell_length_b 7.565
_cell_length_c 4.193
_cell_angle_alpha 90.00
_cell_angle_beta 90.00
_cell_angle_gamma 90.00
_symmetry_space_group_name_H-M 'P 4/m b m'
_symmetry_Int_Tables_number 127
_symmetry_space_group_name_Hall '-P 4 2ab'
loop_
_atom_site_label
_atom_site_type_symbol
_atom_site_fract_x
_atom_site_fract_y
_atom_site_fract_z
La1 La 0.164 0.336 0.000
Sc1 Sc 0.000 0.000 0.500
Rh1 Rh 0.147 0.647 0.500
```

SmTlPb2 after structural relaxation. Source: the Alexandria database, functional GGA-PBE.

Computed properties:
ΔE_f in eV per atom: -0.21
Offset from the most stable computed form in meV per atom: 120.7

CIF file:
```
data_SmTlPb2
_chemical_formula_sum 'Sm1 Tl1 Pb2'
_cell_length_a 4.263
_cell_length_b 4.263
_cell_length_c 6.692
_cell_angle_alpha 90.00
_cell_angle_beta 90.00
_cell_angle_gamma 90.00
_symmetry_space_group_name_H-M 'P 4/m m m'
_symmetry_Int_Tables_number 123
_symmetry_space_group_name_Hall '-P 4 2'
loop_
_atom_site_label
_atom_site_type_symbol
_atom_site_fract_x
_atom_site_fract_y
_atom_site_fract_z
Sm1 Sm 0.000 0.000 0.000
Tl1 Tl 0.000 0.000 0.500
Pb1 Pb 0.500 0.500 0.240
```

Si2PCl after structural relaxation. Source: the Alexandria database, functional GGA-PBE.

Computed properties:
Formation energy (no corrections) in eV per atom: 0.60
Offset from the most stable computed form in meV per atom: 578.4

CIF file:
```
data_Si2PCl
_chemical_formula_sum 'Si2 P1 Cl1'
_cell_length_a 4.920
_cell_length_b 4.920
_cell_length_c 2.841
_cell_angle_alpha 90.00
_cell_angle_beta 90.00
_cell_angle_gamma 90.00
_symmetry_space_group_name_H-M 'P 4/m m m'
_symmetry_Int_Tables_number 123
_symmetry_space_group_name_Hall '-P 4 2'
loop_
_atom_site_label
_atom_site_type_symbol
_atom_site_fract_x
_atom_site_fract_y
_atom_site_fract_z
Si1 Si 0.000 0.500 0.000
P1 P 0.000 0.000 0.500
Cl1 Cl 0.500 0.500 0.500
```

Sr2ReRu after structural relaxation. Source: the Alexandria database, functional GGA-PBE.

Computed properties:
ΔE_f in eV per atom: 1.14
Offset from the most stable computed form in meV per atom: 659.7

CIF file:
```
data_Sr2ReRu
_chemical_formula_sum 'Sr2 Re1 Ru1'
_cell_length_a 3.194
_cell_length_b 4.918
_cell_length_c 5.612
_cell_angle_alpha 90.00
_cell_angle_beta 90.00
_cell_angle_gamma 90.00
_symmetry_space_group_name_H-M 'P m m m'
_symmetry_Int_Tables_number 47
_symmetry_space_group_name_Hall '-P 2 2'
loop_
_atom_site_label
_atom_site_type_symbol
_atom_site_fract_x
_atom_site_fract_y
_atom_site_fract_z
Sr1 Sr 0.000 0.000 0.248
Re1 Re 0.500 0.500 0.500
Ru1 Ru 0.500 0.500 0.000
```

Li2TlReCl8 after structural relaxation. Source: the Alexandria database, functional GGA-PBE.

Computed properties:
Formation energy (no corrections) in eV per atom: -1.04

CIF file:
```
data_Li2TlReCl8
_chemical_formula_sum 'Li2 Tl1 Re1 Cl8'
_cell_length_a 6.268
_cell_length_b 6.904
_cell_length_c 8.642
_cell_angle_alpha 66.83
_cell_angle_beta 89.61
_cell_angle_gamma 82.29
_symmetry_space_group_name_H-M 'P -1'
_symmetry_Int_Tables_number 2
_symmetry_space_group_name_Hall '-P 1'
loop_
_atom_site_label
_atom_site_type_symbol
_atom_site_fract_x
_atom_site_fract_y
_atom_site_fract_z
Li1 Li 0.018 0.156 0.322
Tl1 Tl 0.500 0.500 0.500
Re1 Re 0.500 0.500 0.000
Cl1 Cl 0.076 0.785 0.438
Cl2 Cl 0.167 0.720 0.955
Cl3 Cl 0.363 0.305 0.869
Cl4 Cl 0.393 0.269 0.263
```

Pr2SmNpN4 after structural relaxation. Source: the Alexandria database, functional GGA-PBE.

Computed properties:
Formation energy (no corrections) in eV per atom: -1.32

CIF file:
```
data_Pr2SmNpN4
_chemical_formula_sum 'Pr2 Sm1 Np1 N4'
_cell_length_a 6.171
_cell_length_b 3.584
_cell_length_c 6.222
_cell_angle_alpha 90.00
_cell_angle_beta 108.86
_cell_angle_gamma 90.00
_symmetry_space_group_name_H-M 'P 1 2/m 1'
_symmetry_Int_Tables_number 10
_symmetry_space_group_name_Hall '-P 2y'
loop_
_atom_site_label
_atom_site_type_symbol
_atom_site_fract_x
_atom_site_fract_y
_atom_site_fract_z
Pr1 Pr 0.000 0.000 0.000
Pr2 Pr 0.500 0.500 0.000
Sm1 Sm 0.000 0.500 0.500
Np1 Np 0.500 0.000 0.500
N1 N 0.268 0.000 0.721
N2 N 0.273 0.500 0.279
```

La3InSn2 after structural relaxation. Source: the Alexandria database, functional GGA-PBE.

Computed properties:
ΔE_f in eV per atom: -0.65

CIF file:
```
data_La3InSn2
_chemical_formula_sum 'La12 In4 Sn8'
_cell_length_a 13.091
_cell_length_b 4.745
_cell_length_c 12.504
_cell_angle_alpha 90.00
_cell_angle_beta 90.00
_cell_angle_gamma 90.00
_symmetry_space_group_name_H-M 'P n m a'
_symmetry_Int_Tables_number 62
_symmetry_space_group_name_Hall '-P 2ac 2n'
loop_
_atom_site_label
_atom_site_type_symbol
_atom_site_fract_x
_atom_site_fract_y
_atom_site_fract_z
La1 La 0.046 0.250 0.120
La2 La 0.129 0.750 0.567
La3 La 0.207 0.250 0.804
In1 In 0.137 0.250 0.365
Sn1 Sn 0.010 0.750 0.315
Sn2 Sn 0.187 0.750 0.016
```

BaHfPS2 after structural relaxation. Source: the Alexandria database, functional GGA-PBE.

Computed properties:
Formation energy (no corrections) in eV per atom: 1.06
Offset from the most stable computed form in meV per atom: 2398.6

CIF file:
```
data_BaHfPS2
_chemical_formula_sum 'Ba1 Hf1 P1 S2'
_cell_length_a 5.430
_cell_length_b 5.430
_cell_length_c 5.390
_cell_angle_alpha 90.00
_cell_angle_beta 90.00
_cell_angle_gamma 90.00
_symmetry_space_group_name_H-M 'P 4/m m m'
_symmetry_Int_Tables_number 123
_symmetry_space_group_name_Hall '-P 4 2'
loop_
_atom_site_label
_atom_site_type_symbol
_atom_site_fract_x
_atom_site_fract_y
_atom_site_fract_z
Ba1 Ba 0.000 0.000 0.000
Hf1 Hf 0.500 0.500 0.500
P1 P 0.000 0.000 0.500
S1 S 0.000 0.500 0.000
```

NaOs2Pt after structural relaxation. Source: the Alexandria database, functional GGA-PBE.

Computed properties:
ΔE_f in eV per atom: 1.04
Offset from the most stable computed form in meV per atom: 0.0

CIF file:
```
data_NaOs2Pt
_chemical_formula_sum 'Na4 Os8 Pt4'
_cell_length_a 6.245
_cell_length_b 6.245
_cell_length_c 6.245
_cell_angle_alpha 90.00
_cell_angle_beta 90.00
_cell_angle_gamma 90.00
_symmetry_space_group_name_H-M 'F m -3 m'
_symmetry_Int_Tables_number 225
_symmetry_space_group_name_Hall '-F 4 2 3'
loop_
_atom_site_label
_atom_site_type_symbol
_atom_site_fract_x
_atom_site_fract_y
_atom_site_fract_z
Na1 Na 0.000 0.000 0.000
Os1 Os 0.250 0.250 0.250
Pt1 Pt 0.000 0.000 0.500
```

CsCeHg2Bi2 after structural relaxation. Source: the Alexandria database, functional GGA-PBE.

Computed properties:
ΔE_f in eV per atom: -0.39

CIF file:
```
data_CsCeHg2Bi2
_chemical_formula_sum 'Cs1 Ce1 Hg2 Bi2'
_cell_length_a 5.0921
_cell_length_b 5.0921
_cell_length_c 9.9904
_cell_angle_alpha 90.00
_cell_angle_beta 90.00
_cell_angle_gamma 120.00
_symmetry_space_group_name_H-M 'P -3 m 1'
_symmetry_Int_Tables_number 164
_symmetry_space_group_name_Hall '-P 3 2"'
loop_
_atom_site_label
_atom_site_type_symbol
_atom_site_fract_x
_atom_site_fract_y
_atom_site_fract_z
Cs1 Cs 0.0000 0.0000 0.0000
Ce1 Ce 0.0000 0.0000 0.5000
Hg1 Hg 0.3333 0.6667 0.6390
Bi1 Bi 0.3333 0.6667 0.2782
```

no.,E (eV per atom),DOS at the Fermi energy (states/eV/atom)
1,-4.6775,0.78
2,-4.4520,0.47
3,-6.8310,0.89
4,-3.8399,1.07
5,-3.9264,0.42
6,-5.1310,0.92
7,-3.8242,0.37
8,-8.8840,0.74
9,-4.9094,0.80
10,-4.0488,0.74
11,-6.4116,1.38
12,-2.9163,1.10